1.
An optimized crystal structure of RbTlHg3, computed with PBE.

a b c (Å): 3.7571 5.4566 15.9610
angles (deg): 90.00 96.76 90.00
Closest atoms and distances in Å follow each position.
Element x y z (fractional)
Hg 0.4743 0.2500 0.9486  3 Hg 3.18-3.29
Hg 0.5257 0.7500 0.0514  3 Hg 3.18-3.29
Tl 0.7799 0.2500 0.5598  3 Hg 3.12-3.43
Hg 0.3704 0.2500 0.7408  3 Hg 3.19-3.29, 2 Tl 3.43
Hg 0.3184 0.7500 0.6368  1 Tl 3.12, 2 Hg 3.19
Tl 0.2201 0.7500 0.4402  3 Hg 3.12-3.43
Rb 0.9212 0.7500 0.8425  12 Hg 3.68-3.81, 2 Rb 3.76
Hg 0.6816 0.2500 0.3632  1 Tl 3.12, 2 Hg 3.19
Hg 0.6296 0.7500 0.2592  3 Hg 3.19-3.29, 2 Tl 3.43
Rb 0.0788 0.2500 0.1575  12 Hg 3.68-3.81, 2 Rb 3.76

Results
Crystal system = orthorhombic
Space-group type = Cmcm
Polymorph energy (0 for the lowest one) = 0 meV per atom
Spin magnetization = 0.00 μB/f.u.



2.
An optimized crystal structure of Rb6TlHg4, computed with PBE.

a b c (Å): 8.8964 12.0244 12.0244
angles (deg): 120.00 90.00 90.00
Closest atoms and distances in Å follow each position.
Element x y z (fractional)
Hg 0.3978 0.3333 0.6667  1 Tl 3.08
Rb 0.4560 0.1325 0.2650  3 Hg 3.70-3.80
Rb 0.6371 0.5273 0.0547  5 Hg 3.71-4.10, 1 Tl 4.15
Hg 0.8978 0.6667 0.3333  1 Tl 3.08
Rb 0.4560 0.7350 0.8675  3 Hg 3.70-3.80
Tl 0.2436 0.6667 0.3333  4 Hg 3.05-3.08
Hg 0.8572 0.6100 0.8050  1 Tl 3.05
Rb 0.1371 0.4727 0.9453  5 Hg 3.71-4.10, 1 Tl 4.15
Tl 0.7436 0.3333 0.6667  4 Hg 3.05-3.08
Rb 0.6371 0.9453 0.4727  5 Hg 3.71-4.10, 1 Tl 4.15
Rb 0.9560 0.8675 0.1325  3 Hg 3.70-3.80
Hg 0.3572 0.8050 0.6100  1 Tl 3.05
Hg 0.3572 0.3900 0.1950  1 Tl 3.05
Rb 0.4560 0.1325 0.8675  3 Hg 3.70-3.80
Rb 0.9560 0.8675 0.7350  3 Hg 3.70-3.80
Rb 0.1371 0.0547 0.5273  5 Hg 3.71-4.10, 1 Tl 4.15
Hg 0.8572 0.1950 0.3900  1 Tl 3.05
Rb 0.9560 0.2650 0.1325  3 Hg 3.70-3.80
Rb 0.1371 0.4727 0.5273  5 Hg 3.71-4.10, 1 Tl 4.15
Hg 0.3572 0.8050 0.1950  1 Tl 3.05
Rb 0.6371 0.5273 0.4727  5 Hg 3.71-4.10, 1 Tl 4.15
Hg 0.8572 0.1950 0.8050  1 Tl 3.05

Results
Crystal system = hexagonal
E = -1.013 eV per atom
Space-group type = P6_3mc
Spin magnetization = 0.00 μB/f.u.



3.
An optimized crystal structure of RbTlHg, computed with PBE.

a b c (Å): 8.9119 10.2007 10.2007
angles (deg): 57.72 64.10 64.10
Closest atoms and distances in Å follow each position.
Element x y z (fractional)
Tl 0.0217 0.1171 0.1172  4 Hg 3.23-3.52
Hg 0.5912 0.6663 0.6662  3 Tl 3.48-3.52, 6 Rb 3.64-3.65
Hg 0.2570 0.7499 0.2499  6 Tl 3.23
Rb 0.6703 0.5434 0.0434  5 Hg 3.65-3.69, 6 Tl 3.99-4.05
Rb 0.8434 0.2500 0.7500  5 Hg 3.64-3.68, 6 Tl 3.99-4.04
Tl 0.4916 0.5000 0.5000  4 Hg 3.23-3.50
Rb 0.6701 0.0435 0.5435  5 Hg 3.65-3.69, 6 Tl 3.99-4.04
Hg 0.5912 0.1662 0.1663  3 Tl 3.48-3.52, 6 Rb 3.64-3.65
Hg 0.9237 0.3337 0.3338  3 Tl 3.48-3.52, 6 Rb 3.64-3.65
Tl 0.0217 0.6172 0.6171  4 Hg 3.23-3.52
Tl 0.4916 0.0000 0.0000  4 Hg 3.23-3.50
Tl 0.2560 0.8829 0.8828  4 Hg 3.23-3.52
Rb 0.2571 0.9565 0.4565  5 Hg 3.65-3.69, 6 Tl 3.99-4.04
Rb 0.8434 0.7500 0.2500  5 Hg 3.64-3.68, 6 Tl 3.99-4.04
Rb 0.2571 0.4566 0.9566  5 Hg 3.65-3.69, 6 Tl 3.99-4.05
Tl 0.2560 0.3828 0.3829  4 Hg 3.23-3.52
Hg 0.9237 0.8338 0.8337  3 Tl 3.48-3.52, 6 Rb 3.64-3.65
Hg 0.2568 0.2501 0.7501  6 Tl 3.23

Results
Crystal system = orthorhombic
Space-group type = Amm2
Polymorph energy (0 for the lowest one) = 0 meV per atom
Spin magnetization = 0.00 μB/f.u.